[1]
DFT (PBEsol) results for LaAgOs2 after structural relaxation.

It has space group Cmmm (No. 65), with a = 3.016 Å, b = 4.749 Å, c = 9.581 Å, α = 90.00°, β = 90.00° and γ = 90.00°. The asymmetric unit holds La at (0.000, 0.000, 0.000), Ag at (0.000, 0.000, 0.500) and Os at (0.000, 0.500, 0.258).

As for the energy above the most stable polymorph in this dataset: 634 meV/atom. For the formation energy, the calculation gives 3.2 eV/f.u. The final energy is -7.469 eV/atom. As for the size of the total moment: 0.00 Bohr magnetons per cell. As for the density: 15.2 Mg/m³.

---

[2]
DFT (PBEsol) results for GaTcS2Cl after structural relaxation.

It has space group P4/mmm (No. 123), with a = 4.511 Å, b = 4.511 Å, c = 5.038 Å, α = 90.00°, β = 90.00° and γ = 90.00°. The asymmetric unit holds Ga at (0.000, 0.000, 0.000), Tc at (0.500, 0.500, 0.500), S at (0.000, 0.500, 0.500) and Cl at (0.500, 0.500, 0.000).

As for the energy above the most stable polymorph in this dataset: 0 meV/atom. The final energy is -5.191 eV/atom. As for the size of the total moment: 0.00 Bohr magnetons per cell. As for the density: 4.3 Mg/m³. The value obtained for the uncorrected formation energy is -0.6 eV/f.u.

---

Which value of final energy does entry 1 give?
-7.469 eV/atom

---

What is the formula in the first record?
LaAgOs2

---

Which of these has the highest final energy?
GaTcS2Cl

---

Look up the size of the total moment of the first one.
0.00 Bohr magnetons per cell